Entry 1:
Entry from Alexandria: K3DyY2S6 after structural relaxation (PBE).

a b c (Å): 7.0230 7.0230 7.7343
angles (deg): 98.71 98.71 120.00
Closest atoms and distances in Å follow each position.
Positions (direct):
K (0.5000, 0.5000, 0.5000)  6 S 3.21
K (0.1669, 0.8331, 0.5000)  6 S 3.21
S (0.0673, 0.4002, 0.2019)  1 Dy 2.77, 2 Y 2.78
Y (0.3334, 0.6666, 0.0000)  6 S 2.78
S (0.7344, 0.7344, 0.2020)  1 Dy 2.77, 2 Y 2.78
S (0.9327, 0.5998, 0.7981)  1 Dy 2.77, 2 Y 2.78
S (0.4002, 0.0673, 0.2019)  1 Dy 2.77, 2 Y 2.78
Y (0.6666, 0.3334, 0.0000)  6 S 2.78
Dy (0.0000, 0.0000, 0.0000)  6 S 2.77
S (0.2656, 0.2656, 0.7980)  1 Dy 2.77, 2 Y 2.78
K (0.8331, 0.1669, 0.5000)  6 S 3.21
S (0.5998, 0.9327, 0.7981)  1 Dy 2.77, 2 Y 2.78

The density comes out at 3.43 g/cm³. The total DFT energy (no corrections) is -68.29 eV/cell. The magnetic moment is 0.00 μB per formula unit. The formation energy from raw total energies is -1892 meV/atom.

---

Entry 2:
Entry from Alexandria: ZrSc2Te after structural relaxation (PBE).

a b c (Å): 3.7490 3.7503 6.5441
angles (deg): 90.00 90.00 90.00
Closest atoms and distances in Å follow each position.
Positions (direct):
Te (0.0000, 0.0000, 0.5013)  4 Zr 3.07, 6 Sc 3.08-3.28
Zr (0.5000, 0.5000, 0.7382)  4 Te 3.07, 6 Sc 3.13-3.42
Sc (0.0000, 0.0000, 0.0002)  4 Sc 3.15, 4 Zr 3.16, 2 Te 3.27-3.28
Sc (0.5000, 0.5000, 0.2603)  4 Te 3.08, 2 Zr 3.13-3.42, 4 Sc 3.15

The density comes out at 5.57 g/cm³. The total DFT energy (no corrections) is -26.11 eV/cell. The magnetic moment is 0.59 μB per formula unit. The formation energy from raw total energies is -438 meV/atom.

---

- Which formula does entry 1 have?
  K3DyY2S6

---

- What is the density in the second record?
  5.57 g/cm³

---

- Among the records above, which one has the lowest density?
  K3DyY2S6